Material: LiIrSO
Method: DFT, PBE
State: relaxed

a = 3.542 Å, b = 3.542 Å, c = 7.855 Å
α = 90.00°, β = 90.00°, γ = 90.00°
Sites, in units of the cell vectors:
O1 0.750 0.250 0.000
S1 0.750 0.750 0.292
Ir1 0.750 0.750 0.839
S2 0.250 0.250 0.708
Ir2 0.250 0.250 0.161
O2 0.250 0.750 0.000
Li1 0.250 0.750 0.500
Li2 0.750 0.250 0.500

* V: 12.3 Å³ per atom
* final energy: -40.20 eV per cell
* density: 8.33 g/cm3
* spin magnetization: 0.03 μB/cell